Here is MoSeS3 after structural relaxation from the Alexandria database. Energies are from PBE-GGA.

Computed properties:
* total energy: -5.027 eV/atom
* relative energy among the computed polymorphs: 0.0000 eV/atom
* crystal system: cubic
* space-group type: No. 221
* raw formation energy: 313 meV/atom

abc: 4.6683 4.6683 4.6683
angles: 90.00 90.00 90.00
Sites, in units of the cell vectors:
Mo 0.0000 0.0000 0.0000
S 0.0000 0.5000 0.0000
S 0.0000 0.0000 0.5000
S 0.5000 0.0000 0.0000
Se 0.5000 0.5000 0.5000

Here is MoSeS after structural relaxation from the Alexandria database. Energies are from PBE-GGA.

Computed properties:
* total energy: -6.914 eV/atom
* relative energy among the computed polymorphs: 0.0031 eV/atom
* crystal system: trigonal
* space-group type: No. 156
* raw formation energy: -766 meV/atom

abc: 3.2549 3.2549 33.1974
angles: 90.00 90.00 120.00
Sites, in units of the cell vectors:
Mo 0.0000 0.0000 0.0588
Mo 0.0000 0.0000 0.4787
Mo 0.3333 0.6667 0.2673
Mo 0.3333 0.6667 0.6981
Se 0.0000 0.0000 0.7492
Se 0.3333 0.6667 0.4276
Se 0.3333 0.6667 0.5299
Se 0.0000 0.0000 0.6469
S 0.0000 0.0000 0.3138
S 0.3333 0.6667 0.0123
S 0.3333 0.6667 0.1053
S 0.0000 0.0000 0.2208

Here is Mo3Se2S4 after structural relaxation from the Alexandria database. Energies are from PBE-GGA.

Computed properties:
* total energy: -7.019 eV/atom
* crystal system: hexagonal
* space-group type: No. 187
* raw formation energy: -800 meV/atom

abc: 3.2325 3.2325 22.0836
angles: 90.00 90.00 120.00
Sites, in units of the cell vectors:
Mo 0.0000 0.0000 0.6708
Mo 0.0000 0.0000 0.3292
Mo 0.3333 0.6667 0.0000
Se 0.0000 0.0000 0.0773
Se 0.0000 0.0000 0.9227
S 0.3333 0.6667 0.6005
S 0.3333 0.6667 0.2590
S 0.3333 0.6667 0.7410
S 0.3333 0.6667 0.3995

Here is SmMo6Se4S4 after structural relaxation from the Alexandria database. Energies are from PBE-GGA.

Computed properties:
* total energy: -7.487 eV/atom
* crystal system: triclinic
* space-group type: No. 1
* raw formation energy: -810 meV/atom

abc: 6.7350 6.7382 6.9285
angles: 94.59 88.09 98.07
Sites, in units of the cell vectors:
Sm 0.9978 0.1808 0.9250
Mo 0.5510 0.2218 0.4156
Mo 0.4163 0.5274 0.2455
Mo 0.2344 0.3889 0.5630
Mo 0.4522 0.7543 0.5926
Mo 0.5790 0.4433 0.7661
Mo 0.7696 0.5880 0.4445
Se 0.6449 0.8668 0.2689
Se 0.2586 0.6040 0.8993
Se 0.2191 0.1572 0.2524
Se 0.7846 0.7945 0.7755
S 0.1507 0.6884 0.4035
S 0.3694 0.1147 0.7227
S 0.7194 0.3812 0.1282
S 0.8531 0.2887 0.5972

Q: Which of these has the lowest total energy?
A: SmMo6Se4S4

Q: Which formula does entry 1 have?
A: MoSeS3